No. 1
# PBEsol Ga2AgIrN, optimized geometry
data_Ga2AgIrN
_cell_length_a 4.691
_cell_length_b 4.691
_cell_length_c 4.976
_cell_angle_alpha 90.00
_cell_angle_beta 90.00
_cell_angle_gamma 90.00
_space_group_name_H-M_alt 'P 4/m m m'
_space_group_IT_number 123
_space_group_name_Hall '-P 4 2'
loop_
_atom_site_label
_atom_site_type_symbol
_atom_site_fract_x
_atom_site_fract_y
_atom_site_fract_z
_atom_site_occupancy
Ga1 Ga 0.000 0.500 0.000 1
Ag1 Ag 0.000 0.000 0.000 1
Ir1 Ir 0.000 0.000 0.500 1
N1 N 0.500 0.500 0.500 1
# N(E_F) in states/eV/cell: 5.058
# Total DFT energy (no corrections) in eV/atom: -3.53

***

No. 2
# PBEsol KGa2Ag2, optimized geometry
data_KGa2Ag2
_cell_length_a 8.419
_cell_length_b 8.419
_cell_length_c 2.748
_cell_angle_alpha 90.00
_cell_angle_beta 90.00
_cell_angle_gamma 90.00
_space_group_name_H-M_alt 'P 4/m b m'
_space_group_IT_number 127
_space_group_name_Hall '-P 4 2ab'
loop_
_atom_site_label
_atom_site_type_symbol
_atom_site_fract_x
_atom_site_fract_y
_atom_site_fract_z
_atom_site_occupancy
K1 K 0.000 0.000 0.000 1
Ga1 Ga 0.136 0.364 0.500 1
Ag1 Ag 0.155 0.655 0.000 1
# N(E_F) in states/eV/cell: 2.749
# DFT formation energy in eV/atom: -0.0107

***

No. 3
# PBEsol KGa2Ag2, optimized geometry
data_KGa2Ag2
_cell_length_a 4.448
_cell_length_b 4.448
_cell_length_c 11.278
_cell_angle_alpha 90.00
_cell_angle_beta 90.00
_cell_angle_gamma 90.00
_space_group_name_H-M_alt 'I 4/m m m'
_space_group_IT_number 139
_space_group_name_Hall '-I 4 2'
loop_
_atom_site_label
_atom_site_type_symbol
_atom_site_fract_x
_atom_site_fract_y
_atom_site_fract_z
_atom_site_occupancy
K1 K 0.000 0.000 0.000 1
Ga1 Ga 0.000 0.500 0.250 1
Ag1 Ag 0.000 0.000 0.376 1
# N(E_F) in states/eV/cell: 5.115
# DFT formation energy in eV/atom: 0.0254

***

No. 4
# PBEsol La2Ga2Ag, optimized geometry
data_La2Ga2Ag
_cell_length_a 7.075
_cell_length_b 7.075
_cell_length_c 4.747
_cell_angle_alpha 90.00
_cell_angle_beta 90.00
_cell_angle_gamma 90.00
_space_group_name_H-M_alt 'P 4/m b m'
_space_group_IT_number 127
_space_group_name_Hall '-P 4 2ab'
loop_
_atom_site_label
_atom_site_type_symbol
_atom_site_fract_x
_atom_site_fract_y
_atom_site_fract_z
_atom_site_occupancy
La1 La 0.169 0.331 0.000 1
Ga1 Ga 0.134 0.634 0.500 1
Ag1 Ag 0.000 0.000 0.500 1
# N(E_F) in states/eV/cell: 9.501
# DFT formation energy in eV/atom: -0.4844